1.
HoMgScRe (GGA-PBE, optimized geometry); space group = F-43m (216)
1.0
6.8891 0.0000 0.0000
0.0000 6.8891 0.0000
0.0000 0.0000 6.8891
Ho Mg Sc Re
4 4 4 4
direct
0.0000 0.0000 0.0000
0.0000 0.5000 0.5000
0.5000 0.0000 0.5000
0.5000 0.5000 0.0000
0.2500 0.2500 0.2500
0.2500 0.7500 0.7500
0.7500 0.2500 0.7500
0.7500 0.7500 0.2500
0.0000 0.0000 0.5000
0.0000 0.5000 0.0000
0.5000 0.0000 0.0000
0.5000 0.5000 0.5000
0.2500 0.2500 0.7500
0.2500 0.7500 0.2500
0.7500 0.2500 0.2500
0.7500 0.7500 0.7500



2.
HoThMgRe (GGA-PBE, optimized geometry); space group = F-43m (216)
1.0
7.2229 0.0000 0.0000
0.0000 7.2229 0.0000
0.0000 0.0000 7.2229
Ho Th Mg Re
4 4 4 4
direct
0.0000 0.0000 0.0000
0.0000 0.5000 0.5000
0.5000 0.0000 0.5000
0.5000 0.5000 0.0000
0.0000 0.0000 0.5000
0.0000 0.5000 0.0000
0.5000 0.0000 0.0000
0.5000 0.5000 0.5000
0.2500 0.2500 0.2500
0.2500 0.7500 0.7500
0.7500 0.2500 0.7500
0.7500 0.7500 0.2500
0.2500 0.2500 0.7500
0.2500 0.7500 0.2500
0.7500 0.2500 0.2500
0.7500 0.7500 0.7500



3.
Ho4Mg5Rh2 (GGA-PBE, optimized geometry); space group = P2/m (10)
1.0
7.8636 0.0000 0.0000
0.0000 3.6155 0.0000
-0.5191 0.0000 9.6530
Ho Mg Rh
4 5 2
direct
0.1692 0.0000 0.3469
0.2037 0.0000 0.9462
0.7963 0.0000 0.0538
0.8308 0.0000 0.6531
0.1809 0.5000 0.6535
0.4508 0.5000 0.1681
0.5000 0.5000 0.5000
0.5492 0.5000 0.8319
0.8191 0.5000 0.3465
0.0743 0.5000 0.1460
0.9257 0.5000 0.8540



4.
HoMg2Rh4 (GGA-PBE, optimized geometry); space group = I4/mmm (139)
1.0
6.4197 0.0000 0.0000
0.0000 6.4197 0.0000
0.0000 0.0000 6.0101
Ho Mg Rh
2 4 8
direct
0.0000 0.0000 0.0000
0.5000 0.5000 0.5000
0.0000 0.5000 0.0000
0.0000 0.5000 0.5000
0.5000 0.0000 0.0000
0.5000 0.0000 0.5000
0.2500 0.2500 0.2500
0.2500 0.2500 0.7500
0.2500 0.7500 0.2500
0.2500 0.7500 0.7500
0.7500 0.2500 0.2500
0.7500 0.2500 0.7500
0.7500 0.7500 0.2500
0.7500 0.7500 0.7500



5.
HoMgRh2 (GGA-PBE, optimized geometry); space group = Fm-3m (225)
1.0
6.5454 0.0000 0.0000
0.0000 6.5454 0.0000
0.0000 0.0000 6.5454
Ho Mg Rh
4 4 8
direct
0.0000 0.0000 0.0000
0.0000 0.5000 0.5000
0.5000 0.0000 0.5000
0.5000 0.5000 0.0000
0.0000 0.0000 0.5000
0.0000 0.5000 0.0000
0.5000 0.0000 0.0000
0.5000 0.5000 0.5000
0.2500 0.2500 0.2500
0.2500 0.2500 0.7500
0.2500 0.7500 0.2500
0.2500 0.7500 0.7500
0.7500 0.2500 0.2500
0.7500 0.2500 0.7500
0.7500 0.7500 0.2500
0.7500 0.7500 0.7500



6.
Ho3MgRh2 (GGA-PBE, optimized geometry); space group = Ibam (72)
1.0
-3.2637 6.5203 3.5115
3.2637 -6.5203 3.5115
3.2637 6.5203 -3.5115
Ho Mg Rh
6 2 4
direct
0.0291 0.7500 0.2791
0.2500 0.2500 0.0000
0.4709 0.7500 0.7209
0.5291 0.2500 0.2791
0.7500 0.7500 0.0000
0.9709 0.2500 0.7209
0.0000 0.5000 0.5000
0.5000 0.0000 0.5000
0.1382 0.2050 0.3432
0.3618 0.7050 0.0668
0.6382 0.2950 0.9332
0.8618 0.7950 0.6568



7.
Ho3Mg2Rh3 (GGA-PBE, optimized geometry); space group = P6_3/mcm (193)
1.0
8.1602 0.0000 0.0000
-4.0801 7.0670 0.0000
0.0000 0.0000 5.7518
Ho Mg Rh
6 4 6
direct
0.0000 0.2702 0.2500
0.0000 0.7298 0.7500
0.2702 0.0000 0.2500
0.2702 0.2702 0.7500
0.7298 0.0000 0.7500
0.7298 0.7298 0.2500
0.3333 0.6667 0.0000
0.3333 0.6667 0.5000
0.6667 0.3333 0.0000
0.6667 0.3333 0.5000
0.0000 0.3890 0.7500
0.0000 0.6110 0.2500
0.3890 0.0000 0.7500
0.3890 0.3890 0.2500
0.6110 0.0000 0.2500
0.6110 0.6110 0.7500



8.
Ho2MgRh (GGA-PBE, optimized geometry); space group = P4/mmm (123)
1.0
3.5158 0.0000 0.0000
0.0000 3.5158 0.0000
0.0000 0.0000 7.6269
Ho Mg Rh
2 1 1
direct
0.0000 0.0000 0.2109
0.0000 0.0000 0.7891
0.5000 0.5000 0.5000
0.5000 0.5000 0.0000



9.
HoMg3Rh4 (GGA-PBE, optimized geometry); space group = P4/mmm (123)
1.0
4.5059 0.0000 0.0000
0.0000 4.5059 0.0000
0.0000 0.0000 6.4273
Ho Mg Rh
1 3 4
direct
0.0000 0.0000 0.0000
0.0000 0.0000 0.5000
0.5000 0.5000 0.0000
0.5000 0.5000 0.5000
0.0000 0.5000 0.2606
0.0000 0.5000 0.7394
0.5000 0.0000 0.2606
0.5000 0.0000 0.7394



10.
Ho2MgRh4 (GGA-PBE, optimized geometry); space group = R-3m (166)
1.0
2.2634 1.3068 7.4473
-2.2634 1.3068 7.4473
0.0000 -2.6136 7.4473
Ho Mg Rh
2 1 4
direct
0.2444 0.2444 0.2444
0.7556 0.7556 0.7556
0.0000 0.0000 0.0000
0.1221 0.1221 0.1221
0.3731 0.3731 0.3731
0.6269 0.6269 0.6269
0.8779 0.8779 0.8779



11.
Ho2MgRh2 (GGA-PBE, optimized geometry); space group = C2/c (15)
1.0
5.1558 -2.7016 0.0000
5.1558 2.7016 0.0000
-2.4686 0.0000 7.5202
Ho Mg Rh
4 2 4
direct
0.0026 0.7022 0.8501
0.2978 0.9974 0.6499
0.7022 0.0026 0.3501
0.9974 0.2978 0.1499
0.3571 0.6429 0.2500
0.6429 0.3571 0.7500
0.2137 0.5160 0.4865
0.4840 0.7863 0.0135
0.5160 0.2137 0.9865
0.7863 0.4840 0.5135



12.
Ho3MgRh (GGA-PBE, optimized geometry); space group = Pm-3m (221)
1.0
5.3415 0.0000 0.0000
0.0000 5.3415 0.0000
0.0000 0.0000 5.3415
Ho Mg Rh
3 1 1
direct
0.0000 0.0000 0.5000
0.0000 0.5000 0.0000
0.5000 0.0000 0.0000
0.5000 0.5000 0.5000
0.0000 0.0000 0.0000



13.
Ho5MgRh4 (GGA-PBE, optimized geometry); space group = P4/mmm (123)
1.0
3.4524 0.0000 0.0000
0.0000 3.4524 0.0000
0.0000 0.0000 17.8498
Ho Mg Rh
5 1 4
direct
0.0000 0.0000 0.0000
0.0000 0.0000 0.1889
0.0000 0.0000 0.3750
0.0000 0.0000 0.6250
0.0000 0.0000 0.8111
0.5000 0.5000 0.5000
0.5000 0.5000 0.0947
0.5000 0.5000 0.2864
0.5000 0.5000 0.7136
0.5000 0.5000 0.9053



14.
HoMgRh (GGA-PBE, optimized geometry); space group = F-43m (216)
1.0
6.5210 0.0000 0.0000
0.0000 6.5210 0.0000
0.0000 0.0000 6.5210
Ho Mg Rh
4 4 4
direct
0.0000 0.0000 0.0000
0.0000 0.5000 0.5000
0.5000 0.0000 0.5000
0.5000 0.5000 0.0000
0.0000 0.0000 0.5000
0.0000 0.5000 0.0000
0.5000 0.0000 0.0000
0.5000 0.5000 0.5000
0.2500 0.2500 0.2500
0.2500 0.7500 0.7500
0.7500 0.2500 0.7500
0.7500 0.7500 0.2500



15.
Ho4MgRh (GGA-PBE, optimized geometry); ΔE to the lowest computed polymorph = 0.0 meV/atom; space group = F-43m (216)
1.0
0.0000 6.8230 6.8230
6.8230 0.0000 6.8230
6.8230 6.8230 0.0000
Ho Mg Rh
16 4 4
direct
0.0624 0.0624 0.4376
0.0624 0.4376 0.0624
0.0624 0.4376 0.4376
0.1852 0.1852 0.8148
0.1852 0.8148 0.1852
0.1852 0.8148 0.8148
0.2084 0.5972 0.5972
0.4376 0.0624 0.0624
0.4376 0.0624 0.4376
0.4376 0.4376 0.0624
0.5972 0.2084 0.5972
0.5972 0.5972 0.2084
0.5972 0.5972 0.5972
0.8148 0.1852 0.1852
0.8148 0.1852 0.8148
0.8148 0.8148 0.1852
0.5109 0.8297 0.8297
0.8297 0.5109 0.8297
0.8297 0.8297 0.5109
0.8297 0.8297 0.8297
0.3919 0.3919 0.3919
0.3919 0.3919 0.8243
0.3919 0.8243 0.3919
0.8243 0.3919 0.3919



16.
HoMg2Rh3 (GGA-PBE, optimized geometry); space group = P-3m1 (164)
1.0
4.5501 0.0000 0.0000
-2.2751 3.9405 0.0000
0.0000 0.0000 5.5881
Ho Mg Rh
1 2 3
direct
0.0000 0.0000 0.0000
0.3333 0.6667 0.6574
0.6667 0.3333 0.3426
0.0000 0.0000 0.5000
0.3333 0.6667 0.1759
0.6667 0.3333 0.8241



17.
HoMgRh (GGA-PBE, optimized geometry); space group = Pnma (62)
1.0
7.0421 0.0000 0.0000
0.0000 4.0942 0.0000
0.0000 0.0000 8.5325
Ho Mg Rh
4 4 4
direct
0.0387 0.2500 0.1748
0.4613 0.7500 0.6748
0.5387 0.2500 0.3252
0.9613 0.7500 0.8252
0.1357 0.2500 0.5583
0.3643 0.7500 0.0583
0.6357 0.2500 0.9417
0.8643 0.7500 0.4417
0.2485 0.2500 0.8692
0.2515 0.7500 0.3692
0.7485 0.2500 0.6308
0.7515 0.7500 0.1308



18.
Ho5MgRh6 (GGA-PBE, optimized geometry); space group = C2/m (12)
1.0
4.1302 -7.1262 0.0000
4.1302 7.1262 0.0000
-2.7170 0.0000 3.8872
Ho Mg Rh
5 1 6
direct
0.0000 0.0000 0.0000
0.1700 0.8300 0.5000
0.3429 0.6571 0.0000
0.6571 0.3429 0.0000
0.8300 0.1700 0.5000
0.5000 0.5000 0.5000
0.0834 0.4154 0.2492
0.2452 0.2452 0.7449
0.4154 0.0834 0.2492
0.5846 0.9166 0.7508
0.7548 0.7548 0.2551
0.9166 0.5846 0.7508



19.
Ho3MgRh8 (GGA-PBE, optimized geometry); space group = R3m (160)
1.0
2.6428 1.5258 8.6606
-2.6428 1.5258 8.6606
0.0000 -3.0516 8.6606
Ho Mg Rh
3 1 8
direct
0.0000 0.0000 0.0000
0.1278 0.1278 0.1278
0.6204 0.6204 0.6204
0.4977 0.4977 0.4977
0.0609 0.0609 0.5623
0.0609 0.5623 0.0609
0.0625 0.5621 0.5621
0.3118 0.3118 0.3118
0.5623 0.0609 0.0609
0.5621 0.0625 0.5621
0.5621 0.5621 0.0625
0.8119 0.8119 0.8119



20.
Ho2Mg3Rh2 (GGA-PBE, optimized geometry); space group = C2/m (12)
1.0
10.1632 0.0000 0.0000
0.0000 4.1097 0.0000
-0.8935 0.0000 7.1946
Ho Mg Rh
4 6 4
direct
0.1257 0.0000 0.3725
0.3743 0.5000 0.6275
0.6257 0.5000 0.3725
0.8743 0.0000 0.6275
0.0000 0.5000 0.0000
0.1878 0.0000 0.8631
0.3122 0.5000 0.1369
0.5000 0.0000 0.0000
0.6878 0.5000 0.8631
0.8122 0.0000 0.1369
0.0940 0.5000 0.6564
0.4060 0.0000 0.3436
0.5940 0.0000 0.6564
0.9060 0.5000 0.3436



Mass density values, unit g/cm³, following the record order: 8.54, 10.71, 5.97, 8.38, 9.36, 8.05, 8.53, 8.05, 8.26, 9.62, 8.88, 6.78, 9.84, 7.00, 8.23, 8.66, 7.89, 10.64, 10.64, 6.73.
Energy of formation from the pure elements values, unit kJ per mole of atoms, following the record order: 3.4, 8.5, -36.0, -19.1, -71.7, -58.5, -66.7, -48.9, -59.4, -42.3, -70.3, -24.4, -71.9, -49.7, -39.4, -64.6, -65.8, -83.2, -63.1, -51.0.